Computed, not measured: a relaxed structure of AcMnTlF6 at the GGA+U level of DFT.

```
AcMnTlF6
1.0
-2.084 4.413 4.061
1.679 -5.739 2.134
9.848 3.391 1.369
Ac Mn Tl F
2 2 2 12
direct
0.333 0.667 0.250
0.667 0.333 0.750
0.667 0.333 0.250
0.333 0.667 0.750
0.000 0.000 0.000
0.000 0.000 0.500
0.641 0.610 0.142
0.969 0.359 0.142
0.359 0.969 0.642
0.031 0.641 0.858
0.390 0.359 0.358
0.969 0.610 0.358
0.610 0.969 0.858
0.641 0.031 0.358
0.031 0.390 0.642
0.390 0.031 0.142
0.610 0.641 0.642
0.359 0.390 0.858
```

Calculated total energy (eV/atom): -5.874
D(E_F) (states/eV/cell): 0.000
Crystal system: trigonal

Computed, not measured: a relaxed structure of AcMnZn2F8 at the GGA+U level of DFT.

```
AcMnZn2F8
1.0
6.059 0.000 0.000
-3.029 5.247 0.000
0.000 0.000 7.148
Ac Mn Zn F
1 1 2 8
direct
0.000 0.000 0.500
0.000 0.000 0.000
0.333 0.667 0.744
0.667 0.333 0.256
0.145 0.290 0.783
0.145 0.855 0.783
0.710 0.855 0.783
0.290 0.145 0.217
0.667 0.333 0.527
0.333 0.667 0.473
0.855 0.710 0.217
0.855 0.145 0.217
```

Calculated total energy (eV/atom): -5.046
D(E_F) (states/eV/cell): 2.106
Crystal system: trigonal

Computed, not measured: a relaxed structure of AcMo2F8 at the GGA+U level of DFT.

```
AcMo2F8
1.0
-3.283 2.309 1.457
-3.220 -5.251 3.297
4.647 4.398 3.491
Ac Mo F
1 2 8
direct
0.000 0.000 0.000
0.350 0.250 0.625
0.650 0.750 0.375
0.150 0.767 0.384
0.850 0.233 0.616
0.673 0.798 0.112
0.327 0.202 0.314
0.218 0.607 0.804
0.327 0.202 0.888
0.673 0.798 0.686
0.782 0.393 0.196
```

Calculated total energy (eV/atom): -5.872
D(E_F) (states/eV/cell): 0.000
Crystal system: monoclinic

Computed, not measured: a relaxed structure of Na2AcMoF8 at the GGA+U level of DFT.

```
Na2AcMoF8
1.0
4.276 0.011 -0.002
0.089 5.575 -0.006
0.005 0.009 7.672
Na Ac Mo F
2 1 1 8
direct
0.500 0.500 0.776
0.500 0.500 0.224
0.000 0.000 0.500
0.000 0.000 0.000
0.916 0.773 0.222
0.393 0.770 0.000
0.084 0.227 0.222
0.084 0.227 0.778
0.607 0.230 0.000
0.916 0.773 0.778
0.482 0.753 0.500
0.518 0.247 0.500
```

Calculated total energy (eV/atom): -5.558
D(E_F) (states/eV/cell): 0.000
Crystal system: monoclinic

Computed, not measured: a relaxed structure of AcTlMoF6 at the GGA+U level of DFT.

```
AcTlMoF6
1.0
-2.379 6.042 0.874
0.514 -4.087 5.095
9.792 3.583 1.886
Ac Tl Mo F
2 2 2 12
direct
0.333 0.667 0.250
0.667 0.333 0.750
0.000 0.000 0.000
0.000 0.000 0.500
0.667 0.333 0.250
0.333 0.667 0.750
0.640 0.624 0.143
0.985 0.360 0.143
0.360 0.985 0.643
0.015 0.640 0.857
0.376 0.360 0.357
0.985 0.624 0.357
0.624 0.985 0.857
0.640 0.015 0.357
0.015 0.376 0.643
0.376 0.015 0.143
0.624 0.640 0.643
0.360 0.376 0.857
```

Calculated total energy (eV/atom): -5.476
D(E_F) (states/eV/cell): 12.738
Crystal system: trigonal